The following is a DFT calculation (GGA-PBE) of TmNb2Fe9 after structural relaxation.

Unit cell a=8.3378 b=8.3378 c=8.3378 alpha=34.16 beta=34.16 gamma=34.16
Element x y z (fractional)
Tm  0.0000  0.0000  0.0000
Nb  0.1433  0.1433  0.1433
Nb  0.8567  0.8567  0.8567
Fe  0.0827  0.5876  0.5876
Fe  0.3333  0.3333  0.3333
Fe  0.4124  0.4124  0.9173
Fe  0.4124  0.9173  0.4124
Fe  0.5000  0.5000  0.5000
Fe  0.5876  0.0827  0.5876
Fe  0.5876  0.5876  0.0827
Fe  0.6667  0.6667  0.6667
Fe  0.9173  0.4124  0.4124

* E: -0.62653 Ry per atom
* calculated formation energy: -0.126 eV per atom
* size of the total moment: 15.669 μB per formula unit
* ρ: 8.74 g/cm³